[1]
# Th2CuC

An optimized crystal structure of Th2CuC (PBE, Alexandria).

Cell and atoms, written as CIF:
```
data_Th2CuC
_cell_length_a 3.535
_cell_length_b 3.535
_cell_length_c 26.456
_cell_angle_alpha 90.00
_cell_angle_beta 90.00
_cell_angle_gamma 120.00
_space_group_name_H-M_alt 'P 1'
_space_group_IT_number 1
loop_
_space_group_symop_operation_xyz
'x,y,z'
loop_
_atom_site_label
_atom_site_type_symbol
_atom_site_fract_x
_atom_site_fract_y
_atom_site_fract_z
Th1 Th 0.000 0.000 0.110
Th2 Th 0.000 0.000 0.890
Th3 Th 0.333 0.667 0.556
Th4 Th 0.333 0.667 0.777
Th5 Th 0.667 0.333 0.223
Th6 Th 0.667 0.333 0.444
Cu1 Cu 0.000 0.000 0.000
Cu2 Cu 0.333 0.667 0.667
Cu3 Cu 0.667 0.333 0.333
C1 C 0.000 0.000 0.500
C2 C 0.333 0.667 0.167
C3 C 0.667 0.333 0.833
```

## Properties
Size of the total moment = 0.00 μB/f.u.
E_form = 238 meV/atom
Total energy = -6.8022 eV per atom

---

[2]
# Th3CuC

An optimized crystal structure of Th3CuC (PBE, Alexandria).

Cell and atoms, written as CIF:
```
data_Th3CuC
_cell_length_a 6.341
_cell_length_b 6.341
_cell_length_c 8.290
_cell_angle_alpha 110.68
_cell_angle_beta 110.68
_cell_angle_gamma 49.04
_space_group_name_H-M_alt 'P 1'
_space_group_IT_number 1
loop_
_space_group_symop_operation_xyz
'x,y,z'
loop_
_atom_site_label
_atom_site_type_symbol
_atom_site_fract_x
_atom_site_fract_y
_atom_site_fract_z
Th1 Th 0.114 0.114 0.218
Th2 Th 0.153 0.153 0.641
Th3 Th 0.370 0.370 0.087
Th4 Th 0.630 0.630 0.913
Th5 Th 0.847 0.847 0.359
Th6 Th 0.886 0.886 0.782
Cu1 Cu 0.405 0.405 0.547
Cu2 Cu 0.595 0.595 0.453
C1 C 0.124 0.124 0.922
C2 C 0.876 0.876 0.078
```

## Properties
Size of the total moment = 0.00 μB/f.u.
E_form = -141 meV/atom
Total energy = -7.2570 eV per atom

---

[3]
# Th2CuC

An optimized crystal structure of Th2CuC (PBE, Alexandria).

Cell and atoms, written as CIF:
```
data_Th2CuC
_cell_length_a 3.840
_cell_length_b 22.643
_cell_length_c 3.884
_cell_angle_alpha 90.00
_cell_angle_beta 90.00
_cell_angle_gamma 90.00
_space_group_name_H-M_alt 'P 1'
_space_group_IT_number 1
loop_
_space_group_symop_operation_xyz
'x,y,z'
loop_
_atom_site_label
_atom_site_type_symbol
_atom_site_fract_x
_atom_site_fract_y
_atom_site_fract_z
Th1 Th 0.000 0.086 0.250
Th2 Th 0.000 0.305 0.250
Th3 Th 0.000 0.695 0.750
Th4 Th 0.000 0.914 0.750
Th5 Th 0.500 0.195 0.750
Th6 Th 0.500 0.414 0.750
Th7 Th 0.500 0.586 0.250
Th8 Th 0.500 0.805 0.250
Cu1 Cu 0.000 0.466 0.250
Cu2 Cu 0.000 0.534 0.750
Cu3 Cu 0.500 0.034 0.750
Cu4 Cu 0.500 0.966 0.250
C1 C 0.000 0.195 0.250
C2 C 0.000 0.805 0.750
C3 C 0.500 0.305 0.750
C4 C 0.500 0.695 0.250
```

## Properties
Size of the total moment = 0.00 μB/f.u.
E_form = -225 meV/atom
Total energy = -7.2646 eV per atom